Model one:
Compound: LiCoSiO4
Source: Alexandria via LeMat-Bulk
Functional: GGA-PBEsol
Structure: optimized geometry

Magnetic moment (μB/atom): 0.57
DOS(E_F) (states/eV/atom): 0.51

Structure (CIF):
```
data_LiCoSiO4
_chemical_formula_sum 'Li2 Co2 Si2 O8'
_symmetry_space_group_name_H-M 'I -4'
_symmetry_Int_Tables_number 82
_symmetry_space_group_name_Hall 'I -4'
_cell_length_a 4.436
_cell_length_b 4.436
_cell_length_c 8.414
_cell_angle_alpha 90.00
_cell_angle_beta 90.00
_cell_angle_gamma 90.00
loop_
_atom_site_label
_atom_site_fract_x
_atom_site_fract_y
_atom_site_fract_z
Li1 0.000 0.000 0.000
Co1 0.000 0.500 0.250
Si1 0.000 0.000 0.500
O1 0.189 0.244 0.392
```

---

Model two:
Compound: LiCoSiO4
Source: Alexandria via LeMat-Bulk
Functional: GGA-PBEsol
Structure: optimized geometry

Magnetic moment (μB/atom): 0.01

Structure (CIF):
```
data_LiCoSiO4
_chemical_formula_sum 'Li4 Co4 Si4 O16'
_symmetry_space_group_name_H-M 'P n m a'
_symmetry_Int_Tables_number 62
_symmetry_space_group_name_Hall '-P 2ac 2n'
_cell_length_a 9.969
_cell_length_b 5.827
_cell_length_c 4.552
_cell_angle_alpha 90.00
_cell_angle_beta 90.00
_cell_angle_gamma 90.00
loop_
_atom_site_label
_atom_site_fract_x
_atom_site_fract_y
_atom_site_fract_z
Li1 0.223 0.250 0.015
Co1 0.000 0.000 0.500
Si1 0.082 0.750 0.076
O1 0.065 0.250 0.734
O2 0.080 0.750 0.713
O3 0.144 0.516 0.218
```

---

Model three:
Compound: LiCoSiO4
Source: Alexandria via LeMat-Bulk
Functional: GGA-PBEsol
Structure: optimized geometry

Magnetic moment (μB/atom): 0.00

Structure (CIF):
```
data_LiCoSiO4
_chemical_formula_sum 'Li4 Co4 Si4 O16'
_symmetry_space_group_name_H-M 'P 43 2 2'
_symmetry_Int_Tables_number 95
_symmetry_space_group_name_Hall 'P 4cw 2c'
_cell_length_a 5.504
_cell_length_b 5.504
_cell_length_c 7.737
_cell_angle_alpha 90.00
_cell_angle_beta 90.00
_cell_angle_gamma 90.00
loop_
_atom_site_label
_atom_site_fract_x
_atom_site_fract_y
_atom_site_fract_z
Li1 0.000 0.231 0.000
Co1 0.243 0.500 0.250
Si1 0.256 0.256 0.625
O1 0.005 0.264 0.738
O2 0.262 0.496 0.005
```

---

The most stable of them is model three.

---

Model one:
Compound: LiCoSiO4
Source: Alexandria via LeMat-Bulk
Functional: GGA-PBEsol
Structure: optimized geometry

Magnetic moment (μB/atom): 0.57
DOS(E_F) (states/eV/atom): 0.17

Structure (CIF):
```
data_LiCoSiO4
_chemical_formula_sum 'Li18 Co18 Si18 O72'
_symmetry_space_group_name_H-M 'R -3'
_symmetry_Int_Tables_number 148
_symmetry_space_group_name_Hall '-R 3'
_cell_length_a 13.5793
_cell_length_b 13.5793
_cell_length_c 9.2865
_cell_angle_alpha 90.00
_cell_angle_beta 90.00
_cell_angle_gamma 120.00
loop_
_atom_site_label
_atom_site_fract_x
_atom_site_fract_y
_atom_site_fract_z
Li1 0.0176 0.2114 0.2509
Co1 0.0161 0.2101 0.9099
Si1 0.0190 0.2102 0.5772
O1 0.0030 0.3204 0.5666
O2 0.0739 0.2020 0.7291
O3 0.0870 0.2140 0.0736
O4 0.0957 0.2055 0.4405
```

---

Model two:
Compound: LiCoSiO4
Source: Alexandria via LeMat-Bulk
Functional: GGA-PBEsol
Structure: optimized geometry

Magnetic moment (μB/atom): 0.57
DOS(E_F) (states/eV/atom): 0.60

Structure (CIF):
```
data_LiCoSiO4
_chemical_formula_sum 'Li3 Co3 Si3 O12'
_symmetry_space_group_name_H-M 'P 64 2 2'
_symmetry_Int_Tables_number 181
_symmetry_space_group_name_Hall 'P 64 2 (0 0 2)'
_cell_length_a 5.3079
_cell_length_b 5.3079
_cell_length_c 11.9399
_cell_angle_alpha 90.00
_cell_angle_beta 90.00
_cell_angle_gamma 120.00
loop_
_atom_site_label
_atom_site_fract_x
_atom_site_fract_y
_atom_site_fract_z
Li1 0.0000 0.0000 0.0000
Co1 0.0000 0.5000 0.8333
Si1 0.0000 0.5000 0.3333
O1 0.1872 0.3924 0.2587
```

---

The most stable of them is model one.

---

Model one:
Compound: Li2CoSi2O6
Source: Alexandria via LeMat-Bulk
Functional: GGA-PBEsol
Structure: optimized geometry

Magnetic moment (μB/atom): 0.27

Structure (CIF):
```
data_Li2CoSi2O6
_chemical_formula_sum 'Li8 Co4 Si8 O24'
_symmetry_space_group_name_H-M 'C 1 2/c 1'
_symmetry_Int_Tables_number 15
_symmetry_space_group_name_Hall '-C 2yc'
_cell_length_a 5.716
_cell_length_b 9.495
_cell_length_c 9.210
_cell_angle_alpha 90.00
_cell_angle_beta 90.59
_cell_angle_gamma 90.00
loop_
_atom_site_label
_atom_site_fract_x
_atom_site_fract_y
_atom_site_fract_z
Li1 0.060 0.170 0.382
Co1 0.000 0.251 0.750
Si1 0.171 0.468 0.365
O1 0.000 0.378 0.250
O2 0.000 0.500 0.000
O3 0.120 0.140 0.589
O4 0.243 0.115 0.206
```

---

Model two:
Compound: Li2CoSi2O6
Source: Alexandria via LeMat-Bulk
Functional: GGA-PBEsol
Structure: optimized geometry

Magnetic moment (μB/atom): 0.27

Structure (CIF):
```
data_Li2CoSi2O6
_chemical_formula_sum 'Li16 Co8 Si16 O48'
_symmetry_space_group_name_H-M 'F d d 2'
_symmetry_Int_Tables_number 43
_symmetry_space_group_name_Hall 'F 2 -2d'
_cell_length_a 7.201
_cell_length_b 19.075
_cell_length_c 7.177
_cell_angle_alpha 90.00
_cell_angle_beta 90.00
_cell_angle_gamma 90.00
loop_
_atom_site_label
_atom_site_fract_x
_atom_site_fract_y
_atom_site_fract_z
Li1 0.020 0.166 0.000
Co1 0.000 0.000 0.001
Si1 0.063 0.331 0.929
O1 0.025 0.245 0.393
O2 0.026 0.083 0.838
O3 0.107 0.112 0.478
```

---

The most stable of them is model two.

---

Model one:
Compound: Li2Ti3CoO8
Source: Alexandria via LeMat-Bulk
Functional: GGA-PBEsol
Structure: optimized geometry

Magnetic moment (μB/atom): 0.07
DOS(E_F) (states/eV/atom): 0.19

Structure (CIF):
```
data_Li2Ti3CoO8
_chemical_formula_sum 'Li6 Ti9 Co3 O24'
_symmetry_space_group_name_H-M 'R -3 m'
_symmetry_Int_Tables_number 166
_symmetry_space_group_name_Hall '-R 3 2"'
_cell_length_a 5.9183
_cell_length_b 5.9183
_cell_length_c 13.8901
_cell_angle_alpha 90.00
_cell_angle_beta 90.00
_cell_angle_gamma 120.00
loop_
_atom_site_label
_atom_site_fract_x
_atom_site_fract_y
_atom_site_fract_z
Li1 0.0000 0.0000 0.1212
Ti1 0.0000 0.5000 0.0000
Co1 0.0000 0.0000 0.5000
O1 0.0000 0.0000 0.2595
O2 0.0305 0.5153 0.2556
```

---

Model two:
Compound: Li2Ti3CoO8
Source: Alexandria via LeMat-Bulk
Functional: GGA-PBEsol
Structure: optimized geometry

Magnetic moment (μB/atom): 0.21
DOS(E_F) (states/eV/atom): 0.00

Structure (CIF):
```
data_Li2Ti3CoO8
_chemical_formula_sum 'Li6 Ti9 Co3 O24'
_symmetry_space_group_name_H-M 'R 3 m'
_symmetry_Int_Tables_number 160
_symmetry_space_group_name_Hall 'R 3 -2"'
_cell_length_a 5.8987
_cell_length_b 5.8987
_cell_length_c 14.2211
_cell_angle_alpha 90.00
_cell_angle_beta 90.00
_cell_angle_gamma 120.00
loop_
_atom_site_label
_atom_site_fract_x
_atom_site_fract_y
_atom_site_fract_z
Li1 0.0000 0.0000 0.0000
Li2 0.0000 0.0000 0.3806
Ti1 0.0060 0.5030 0.8824
Co1 0.0000 0.0000 0.7639
O1 0.0000 0.0000 0.1396
O2 0.0000 0.0000 0.6245
O3 0.0225 0.5113 0.1394
O4 0.1801 0.3603 0.9525
```

---

Model three:
Compound: Li2Ti3CoO8
Source: Alexandria via LeMat-Bulk
Functional: GGA-PBEsol
Structure: optimized geometry

Magnetic moment (μB/atom): 0.21

Structure (CIF):
```
data_Li2Ti3CoO8
_chemical_formula_sum 'Li8 Ti12 Co4 O32'
_symmetry_space_group_name_H-M 'P 21 3'
_symmetry_Int_Tables_number 198
_symmetry_space_group_name_Hall 'P 2ac 2ab 3'
_cell_length_a 8.307
_cell_length_b 8.307
_cell_length_c 8.307
_cell_angle_alpha 90.00
_cell_angle_beta 90.00
_cell_angle_gamma 90.00
loop_
_atom_site_label
_atom_site_fract_x
_atom_site_fract_y
_atom_site_fract_z
Li1 0.003 0.497 0.503
Li2 0.125 0.875 0.375
Ti1 0.119 0.628 0.136
Co1 0.247 0.747 0.753
O1 0.112 0.128 0.388
O2 0.113 0.613 0.887
O3 0.125 0.140 0.860
O4 0.140 0.360 0.640
```

---

The most stable of them is model three.

---

Model one:
Compound: Li2Ti3CoO8
Source: Alexandria via LeMat-Bulk
Functional: GGA-PBEsol
Structure: optimized geometry

Magnetic moment (μB/atom): 0.21
DOS(E_F) (states/eV/atom): 0.72

Structure (CIF):
```
data_Li2Ti3CoO8
_chemical_formula_sum 'Li4 Ti6 Co2 O16'
_symmetry_space_group_name_H-M 'P 63 m c'
_symmetry_Int_Tables_number 186
_symmetry_space_group_name_Hall 'P 6c -2c'
_cell_length_a 5.8576
_cell_length_b 5.8576
_cell_length_c 9.5165
_cell_angle_alpha 90.00
_cell_angle_beta 90.00
_cell_angle_gamma 120.00
loop_
_atom_site_label
_atom_site_fract_x
_atom_site_fract_y
_atom_site_fract_z
Li1 0.0000 0.0000 0.0000
Li2 0.3333 0.6667 0.1071
Ti1 0.1688 0.3375 0.7839
Co1 0.3333 0.6667 0.5094
O1 0.0000 0.0000 0.1838
O2 0.0363 0.5181 0.6661
O3 0.1612 0.3224 0.3943
O4 0.3333 0.6667 0.8960
```

---

Model two:
Compound: Li2Ti3CoO8
Source: Alexandria via LeMat-Bulk
Functional: GGA-PBEsol
Structure: optimized geometry

Magnetic moment (μB/atom): 0.07
DOS(E_F) (states/eV/atom): 0.47

Structure (CIF):
```
data_Li2Ti3CoO8
_chemical_formula_sum 'Li8 Ti12 Co4 O32'
_symmetry_space_group_name_H-M 'P 43 3 2'
_symmetry_Int_Tables_number 212
_symmetry_space_group_name_Hall 'P 4acd 2ab 3'
_cell_length_a 8.238
_cell_length_b 8.238
_cell_length_c 8.238
_cell_angle_alpha 90.00
_cell_angle_beta 90.00
_cell_angle_gamma 90.00
loop_
_atom_site_label
_atom_site_fract_x
_atom_site_fract_y
_atom_site_fract_z
Li1 0.007 0.493 0.507
Ti1 0.112 0.625 0.138
Co1 0.125 0.875 0.375
O1 0.106 0.606 0.894
O2 0.114 0.880 0.617
```

---

The most stable of them is model two.